Li2CaHg2Bi2: optimized geometry, PBE.

a = 4.834 Å, b = 4.834 Å, c = 9.375 Å
α = 75.06°, β = 75.06°, γ = 60.00°
Positions (direct):
1 Li 0.142 0.142 0.574
2 Li 0.858 0.858 0.426
3 Bi 0.735 0.735 0.795
4 Bi 0.265 0.265 0.205
5 Hg 0.447 0.447 0.658
6 Hg 0.553 0.553 0.342
7 Ca 0.000 0.000 0.000

Crystal system   trigonal
Theoretical density   8.00 g cm⁻³
M_tot   0.0000 μB/atom
Formation energy   -401 meV/atom